This record from the Alexandria database describes Ca2MnAl2Si3O13 at its PBEsol-relaxed geometry. The functional is meta-GGA SCAN.

Summary:
uncorrected energy = -10.879 eV/atom
magnetization = 6.1 μB/cell
ΔE_f (raw) = -3063 meV per atom
calculated volume = 238 Å³/f.u.

Lattice parameters (Å, degrees): 8.890 5.714 10.091 90.00 111.97 90.00
Element x y z (fractional)
Ca (0.085, 0.250, 0.340)
Ca (0.281, 0.750, 0.913)
Ca (0.719, 0.250, 0.087)
Ca (0.915, 0.750, 0.660)
Mn (0.500, 0.000, 0.500)
Mn (0.500, 0.500, 0.500)
Al (0.000, 0.000, 0.000)
Al (0.000, 0.500, 0.000)
Al (0.477, 0.250, 0.779)
Al (0.523, 0.750, 0.221)
Si (0.101, 0.250, 0.765)
Si (0.199, 0.750, 0.521)
Si (0.366, 0.250, 0.175)
Si (0.634, 0.750, 0.825)
Si (0.801, 0.250, 0.479)
Si (0.899, 0.750, 0.235)
O (0.006, 0.750, 0.410)
O (0.058, 0.016, 0.835)
O (0.058, 0.484, 0.835)
O (0.133, 0.750, 0.056)
O (0.169, 0.250, 0.114)
O (0.188, 0.750, 0.675)
O (0.283, 0.516, 0.483)
O (0.283, 0.984, 0.483)
O (0.289, 0.250, 0.789)
O (0.440, 0.015, 0.129)
O (0.440, 0.485, 0.129)
O (0.441, 0.250, 0.358)
O (0.468, 0.750, 0.372)
O (0.532, 0.250, 0.628)
O (0.559, 0.750, 0.642)
O (0.560, 0.515, 0.871)
O (0.560, 0.985, 0.871)
O (0.711, 0.750, 0.211)
O (0.717, 0.016, 0.517)
O (0.717, 0.484, 0.517)
O (0.812, 0.250, 0.325)
O (0.831, 0.750, 0.886)
O (0.867, 0.250, 0.944)
O (0.942, 0.516, 0.165)
O (0.942, 0.984, 0.165)
O (0.994, 0.250, 0.590)


This record from the Alexandria database describes CaMnAl2Ru at its PBEsol-relaxed geometry. The functional is meta-GGA SCAN.

Summary:
uncorrected energy = -15.877 eV/atom
magnetization = 4.5 μB/cell
calculated volume = 106 Å³/f.u.

Lattice parameters (Å, degrees): 4.668 4.668 4.847 90.00 90.00 90.00
Element x y z (fractional)
Ca (0.000, 0.000, 0.000)
Mn (0.500, 0.500, 0.000)
Al (0.000, 0.500, 0.500)
Al (0.500, 0.000, 0.500)
Ru (0.500, 0.500, 0.500)


This record from the Alexandria database describes CaAl2Mo at its PBEsol-relaxed geometry. The functional is meta-GGA SCAN.

Summary:
uncorrected energy = -14.609 eV/atom
magnetization = 0.0 μB/cell
excess energy over the best structure of this formula in the dataset = 0.218 eV per atom
calculated volume = 74 Å³/f.u.

Lattice parameters (Å, degrees): 9.722 9.722 9.722 17.67 17.67 17.67
Element x y z (fractional)
Ca (0.000, 0.000, 0.000)
Al (0.504, 0.504, 0.504)
Al (0.760, 0.760, 0.760)
Mo (0.244, 0.244, 0.244)


This record from the Alexandria database describes CaAlMo at its PBEsol-relaxed geometry. The functional is meta-GGA SCAN.

Summary:
uncorrected energy = -16.670 eV/atom
magnetization = 2.4 μB/cell
excess energy over the best structure of this formula in the dataset = 0.294 eV per atom
calculated volume = 70 Å³/f.u.

Lattice parameters (Å, degrees): 4.622 4.622 4.622 60.00 60.00 60.00
Element x y z (fractional)
Ca (0.000, 0.000, 0.000)
Al (0.250, 0.250, 0.250)
Mo (0.500, 0.500, 0.500)


This record from the Alexandria database describes CaAl2Mo at its PBEsol-relaxed geometry. The functional is meta-GGA SCAN.

Summary:
uncorrected energy = -14.369 eV/atom
magnetization = 0.0 μB/cell
excess energy over the best structure of this formula in the dataset = 0.458 eV per atom
calculated volume = 92 Å³/f.u.

Lattice parameters (Å, degrees): 9.643 9.643 9.643 153.00 153.00 38.55
Element x y z (fractional)
Ca (0.000, 0.000, 0.000)
Ca (0.750, 0.250, 0.500)
Al (0.244, 0.625, 0.119)
Al (0.375, 0.494, 0.619)
Al (0.506, 0.125, 0.881)
Al (0.875, 0.756, 0.381)
Mo (0.250, 0.750, 0.500)
Mo (0.500, 0.500, 0.000)


This record from the Alexandria database describes CaAlMo at its PBEsol-relaxed geometry. The functional is meta-GGA SCAN.

Summary:
uncorrected energy = -16.964 eV/atom
magnetization = 0.0 μB/cell
excess energy over the best structure of this formula in the dataset = 0.000 eV per atom
calculated volume = 56 Å³/f.u.

Lattice parameters (Å, degrees): 4.771 4.771 2.827 90.00 90.00 120.00
Element x y z (fractional)
Ca (0.000, 0.000, 0.000)
Al (0.333, 0.667, 0.572)
Mo (0.667, 0.333, 0.345)


This record from the Alexandria database describes CaAl2Mo at its PBEsol-relaxed geometry. The functional is meta-GGA SCAN.

Summary:
uncorrected energy = -14.827 eV/atom
magnetization = 0.0 μB/cell
excess energy over the best structure of this formula in the dataset = 0.000 eV per atom
calculated volume = 77 Å³/f.u.

Lattice parameters (Å, degrees): 2.889 3.665 7.265 90.00 90.00 90.00
Element x y z (fractional)
Ca (0.000, 0.000, 0.000)
Al (0.000, 0.000, 0.478)
Al (0.500, 0.500, 0.684)
Mo (0.500, 0.500, 0.307)


This record from the Alexandria database describes CaAlNi2Mo at its PBEsol-relaxed geometry. The functional is meta-GGA SCAN.

Summary:
uncorrected energy = -15.787 eV/atom
magnetization = 3.4 μB/cell
calculated volume = 91 Å³/f.u.

Lattice parameters (Å, degrees): 4.286 4.286 4.975 90.00 90.00 90.00
Element x y z (fractional)
Ca (0.000, 0.000, 0.000)
Al (0.000, 0.000, 0.500)
Ni (0.000, 0.500, 0.500)
Ni (0.500, 0.000, 0.500)
Mo (0.500, 0.500, 0.000)


Number 1: N(E_F) 0.19 states/eV per atom. Number 2: N(E_F) 0.32 states/eV per atom. Number 3: N(E_F) 0.70 states/eV per atom. Number 4: N(E_F) 0.43 states/eV per atom. Number 5: N(E_F) 0.45 states/eV per atom. Number 6: N(E_F) 0.88 states/eV per atom. Number 7: N(E_F) 0.68 states/eV per atom. Number 8: N(E_F) 0.75 states/eV per atom.